Entry 1:
Crystalline Tm2Lu2Al5Ni2 at its relaxed geometry, computed with PBE.

abc: 7.064 3.415 9.056
angles: 90.00 93.45 90.00
Sites, in units of the cell vectors:
Al 0.555 0.000 0.308
Ni 0.065 0.000 0.639
Al 0.445 0.000 0.692
Ni 0.935 0.000 0.361
Tm 0.834 0.500 0.136
Al 0.194 0.000 0.163
Lu 0.764 0.500 0.552
Lu 0.236 0.500 0.448
Al 0.500 0.000 0.000
Al 0.806 0.000 0.837
Tm 0.166 0.500 0.864

Output
Magnetization (μB per formula unit): 0.01
E (eV/atom): -4.787
Space group: P2/m, No. 10

=====

Entry 2:
Crystalline YSb2Au at its relaxed geometry, computed with PBE.

abc: 5.211 5.211 5.211
angles: 60.00 60.00 60.00
Sites, in units of the cell vectors:
Y 0.500 0.500 0.500
Sb 0.000 0.000 0.000
Sb 0.750 0.750 0.750
Au 0.250 0.250 0.250

Output
Magnetization (μB per formula unit): 0.01
E (eV/atom): -4.835
Space group: F-43m, No. 216

=====

Entry 3:
Crystalline SrBAu at its relaxed geometry, computed with PBE.

abc: 4.521 4.521 4.521
angles: 60.00 60.00 60.00
Sites, in units of the cell vectors:
B 0.000 0.000 0.000
Au 0.250 0.250 0.250
Sr 0.750 0.750 0.750

Output
E (eV/atom): -3.404
Polymorph energy (0 for the lowest one) (eV/atom): 0.000
Space group: F-43m, No. 216

=====

Entry 4:
Crystalline FeCoBW at its relaxed geometry, computed with PBE.

abc: 3.971 3.971 3.971
angles: 60.00 60.00 60.00
Sites, in units of the cell vectors:
Fe 0.500 0.500 0.500
Co 0.750 0.750 0.750
B 0.000 0.000 0.000
W 0.250 0.250 0.250

Output
Magnetization (μB per formula unit): 2.55
E (eV/atom): -8.493
Polymorph energy (0 for the lowest one) (eV/atom): 0.000
Space group: F-43m, No. 216

=====

Entry 5:
Crystalline LiFePd at its relaxed geometry, computed with PBE.

abc: 4.096 4.096 4.096
angles: 60.00 60.00 60.00
Sites, in units of the cell vectors:
Li 0.750 0.750 0.750
Fe 0.250 0.250 0.250
Pd 0.000 0.000 0.000

Output
Magnetization (μB per formula unit): 3.33
E (eV/atom): -4.827
Space group: F-43m, No. 216

=====

Entry 6:
Crystalline YAgOs at its relaxed geometry, computed with PBE.

abc: 4.632 4.632 4.632
angles: 60.00 60.00 60.00
Sites, in units of the cell vectors:
Ag 0.250 0.250 0.250
Os 0.750 0.750 0.750
Y 0.000 0.000 0.000

Output
Magnetization (μB per formula unit): 0.02
E (eV/atom): -5.854
Calculated formation energy (eV per atom): 0.9842
Polymorph energy (0 for the lowest one) (eV/atom): 0.373
Space group: F-43m, No. 216

=====

Entry 7:
Crystalline Na2TcH6Au at its relaxed geometry, computed with PBE.

abc: 5.241 5.241 5.241
angles: 60.00 60.00 60.00
Last column: magnetic moment on the atom in μB.
Sites, in units of the cell vectors:
H 0.256 0.744 0.744  0.00
H 0.744 0.256 0.744  0.00
Tc 0.500 0.500 0.500  1.38
H 0.256 0.744 0.256  0.00
Na 0.750 0.750 0.750  0.00
Au 0.000 0.000 0.000  0.04
H 0.744 0.256 0.256  0.00
H 0.744 0.744 0.256  0.01
H 0.256 0.256 0.744  0.01
Na 0.250 0.250 0.250  0.00

Output
Magnetization (μB per formula unit): 1.74
E (eV/atom): -3.536
Space group: Fm-3m, No. 225

=====

Entry 8:
Crystalline Li3LaTb2Pb3 at its relaxed geometry, computed with PBE.

abc: 4.775 4.775 11.447
angles: 90.00 90.00 120.00
Sites, in units of the cell vectors:
Tb 0.000 0.000 0.659
Pb 0.667 0.333 0.500
Li 0.333 0.667 0.500
Li 0.667 0.333 0.202
Li 0.667 0.333 0.798
Tb 0.000 0.000 0.341
Pb 0.333 0.667 0.817
Pb 0.333 0.667 0.183
La 0.000 0.000 0.000

Output
Magnetization (μB per formula unit): 0.02
E (eV/atom): -3.956
Space group: P-6m2, No. 187

=====

Entry 9:
Crystalline Pr3AsSe2 at its relaxed geometry, computed with PBE.

abc: 7.433 7.433 7.433
angles: 146.66 132.09 59.62
Sites, in units of the cell vectors:
As 0.000 0.000 0.000
Pr 0.160 0.660 0.500
Se 0.668 0.668 0.000
Pr 0.500 0.000 0.500
Se 0.332 0.332 0.000
Pr 0.840 0.340 0.500

Output
Magnetization (μB per formula unit): 0.02
E (eV/atom): -6.104
Polymorph energy (0 for the lowest one) (eV/atom): 0.000
Space group: Immm, No. 71

=====

Entry 10:
Crystalline Tb2CICl at its relaxed geometry, computed with PBE.

abc: 3.815 3.815 10.431
angles: 90.00 90.00 120.00
Sites, in units of the cell vectors:
C 0.000 0.000 0.491
I 0.333 0.667 0.830
Cl 0.667 0.333 0.197
Tb 0.667 0.333 0.619
Tb 0.333 0.667 0.362

Output
Magnetization (μB per formula unit): 0.00
E (eV/atom): -5.601
Space group: P3m1, No. 156

=====

Entry 11:
Crystalline ZrScTlCo at its relaxed geometry, computed with PBE.

abc: 4.708 4.708 4.708
angles: 60.00 60.00 60.00
Last column: magnetic moment on the atom in μB.
Sites, in units of the cell vectors:
Tl 0.000 0.000 0.000  0.00
Zr 0.500 0.500 0.500  0.42
Sc 0.250 0.250 0.250  0.45
Co 0.750 0.750 0.750  -0.12

Output
Magnetization (μB per formula unit): 1.00
E (eV/atom): -6.013
Polymorph energy (0 for the lowest one) (eV/atom): 0.000
Space group: F-43m, No. 216

=====

Entry 12:
Crystalline ErTm2Ga2 at its relaxed geometry, computed with PBE.

abc: 7.575 7.575 4.238
angles: 90.00 90.00 90.00
Sites, in units of the cell vectors:
Er 0.000 0.000 0.000
Er 0.500 0.500 0.000
Tm 0.826 0.674 0.500
Ga 0.379 0.121 0.000
Tm 0.674 0.174 0.500
Ga 0.121 0.621 0.000
Ga 0.879 0.379 0.000
Tm 0.174 0.326 0.500
Tm 0.326 0.826 0.500
Ga 0.621 0.879 0.000

Output
Magnetization (μB per formula unit): 0.00
E (eV/atom): -4.427
Space group: P4/mbm, No. 127

=====

Entry 13:
Crystalline Pu5Ge3 at its relaxed geometry, computed with PBE.

abc: 6.216 6.216 4.963
angles: 90.00 90.00 105.40
Last column: magnetic moment on the atom in μB.
Sites, in units of the cell vectors:
Pu 0.500 0.000 0.000  5.43
Ge 0.000 0.000 0.000  -0.15
Pu 0.000 0.500 0.000  5.40
Pu 0.801 0.801 0.500  5.28
Pu 0.500 0.500 0.000  5.66
Ge 0.295 0.705 0.500  -0.19
Ge 0.705 0.295 0.500  -0.19
Pu 0.199 0.199 0.500  5.28

Output
Magnetization (μB per formula unit): 27.72
E (eV/atom): -11.035
Space group: Cmmm, No. 65

=====

Entry 14:
Crystalline ScFeTcSn at its relaxed geometry, computed with PBE.

abc: 4.517 4.517 4.517
angles: 60.00 60.00 60.00
Sites, in units of the cell vectors:
Sc 0.500 0.500 0.500
Tc 0.250 0.250 0.250
Sn 0.000 0.000 0.000
Fe 0.750 0.750 0.750

Output
Magnetization (μB per formula unit): 1.78
E (eV/atom): -7.342
Polymorph energy (0 for the lowest one) (eV/atom): 0.000
Space group: F-43m, No. 216

=====

Entry 15:
Crystalline Hf2Ni2Sb at its relaxed geometry, computed with PBE.

abc: 6.812 6.812 3.656
angles: 90.00 90.00 90.00
Sites, in units of the cell vectors:
Ni 0.374 0.874 0.000
Sb 0.000 0.000 0.000
Hf 0.335 0.165 0.500
Ni 0.126 0.374 0.000
Ni 0.874 0.626 0.000
Hf 0.835 0.335 0.500
Ni 0.626 0.126 0.000
Sb 0.500 0.500 0.000
Hf 0.665 0.835 0.500
Hf 0.165 0.665 0.500

Output
Magnetization (μB per formula unit): 0.00
E (eV/atom): -7.594
Space group: P4/mbm, No. 127

=====

Entry 16:
Crystalline PrGd2Ag4Pb4 at its relaxed geometry, computed with PBE.

abc: 9.051 9.051 9.051
angles: 150.03 130.38 59.06
Sites, in units of the cell vectors:
Pb 0.218 0.218 0.000
Pb 0.782 0.782 0.000
Ag 0.975 0.671 0.304
Gd 0.629 0.129 0.500
Gd 0.371 0.871 0.500
Pb 0.697 0.500 0.197
Ag 0.367 0.671 0.696
Pb 0.303 0.500 0.803
Pr 0.000 0.000 0.000
Ag 0.633 0.329 0.304
Ag 0.025 0.329 0.696

Output
Magnetization (μB per formula unit): 0.00
E (eV/atom): -3.980
Space group: Immm, No. 71

=====

Entry 17:
Crystalline YZnCuMo at its relaxed geometry, computed with PBE.

abc: 4.663 4.663 4.663
angles: 60.00 60.00 60.00
Sites, in units of the cell vectors:
Mo 0.250 0.250 0.250
Cu 0.750 0.750 0.750
Zn 0.000 0.000 0.000
Y 0.500 0.500 0.500

Output
Magnetization (μB per formula unit): 2.07
E (eV/atom): -5.139
Calculated formation energy (eV per atom): 0.4350
Polymorph energy (0 for the lowest one) (eV/atom): 0.000
Space group: F-43m, No. 216

=====

Entry 18:
Crystalline SrDy at its relaxed geometry, computed with PBE.

abc: 4.967 4.967 4.967
angles: 60.00 60.00 60.00
Last column: magnetic moment on the atom in μB.
Sites, in units of the cell vectors:
Dy 0.000 0.000 0.000  0.10
Sr 0.500 0.500 0.500  0.02

Output
Magnetization (μB per formula unit): 0.22
E (eV/atom): -2.264
Polymorph energy (0 for the lowest one) (eV/atom): 0.631
Space group: Fm-3m, No. 225

=====

Entry 19:
Crystalline DyFeBr at its relaxed geometry, computed with PBE.

abc: 11.877 11.877 11.877
angles: 18.69 18.69 18.69
Last column: magnetic moment on the atom in μB.
Sites, in units of the cell vectors:
Br 0.722 0.722 0.722  -0.01
Dy 0.556 0.556 0.556  -0.19
Fe 0.835 0.835 0.835  1.29
Br 0.278 0.278 0.278  -0.01
Dy 0.444 0.444 0.444  -0.19
Fe 0.165 0.165 0.165  1.29

Output
Magnetization (μB per formula unit): 1.05
E (eV/atom): -5.800
Space group: R-3m, No. 166

=====

Entry 20:
Crystalline CoSiMoIr at its relaxed geometry, computed with PBE.

abc: 4.239 4.239 4.239
angles: 60.00 60.00 60.00
Sites, in units of the cell vectors:
Ir 0.500 0.500 0.500
Si 0.000 0.000 0.000
Co 0.750 0.750 0.750
Mo 0.250 0.250 0.250

Output
Magnetization (μB per formula unit): 0.42
E (eV/atom): -8.120
Polymorph energy (0 for the lowest one) (eV/atom): 0.000
Space group: F-43m, No. 216